A plane-wave DFT calculation with PBEsol was carried out for a relaxed structure of Zr2InP.

extended XYZ file:
```
4
Lattice="3.1718 0.0000 0.0000 0.0000 3.1718 0.0000 0.0000 0.0000 7.6067" Properties=species:S:1:pos:R:3 pbc="T T T"
Zr 0.0000 0.0000 1.5548
Zr 0.0000 0.0000 6.0519
In 1.5859 1.5859 3.8034
P 1.5859 1.5859 0.0000
```

Computed properties:
Energy relative to the elements in meV/atom: -733
Volume in Å³/cell: 76.5
Total magnetization in μB/f.u.: 0.00
Polymorph energy (0 for the lowest one) in kJ per mole of atoms: 16.9
E in Ha/atom: -0.27456

=====

A plane-wave DFT calculation with PBEsol was carried out for a relaxed structure of LiZrTi2Be.

extended XYZ file:
```
5
Lattice="4.4089 0.0000 0.0000 0.0000 4.4089 0.0000 0.0000 0.0000 4.0640" Properties=species:S:1:pos:R:3 pbc="T T T"
Li 0.0000 0.0000 0.0000
Zr 2.2045 2.2045 2.0320
Ti 0.0000 2.2045 0.0000
Ti 2.2045 0.0000 0.0000
Be 0.0000 0.0000 2.0320
```

Computed properties:
Energy relative to the elements in meV/atom: 720
Volume in Å³/cell: 79.0
Total magnetization in μB/f.u.: 2.17
E in Ha/atom: -0.20654

=====

A plane-wave DFT calculation with PBEsol was carried out for a relaxed structure of SrLa2In.

extended XYZ file:
```
4
Lattice="3.6667 0.0000 0.0000 0.0000 5.8859 0.0000 -0.8037 0.0000 6.1475" Properties=species:S:1:pos:R:3 pbc="T T T"
Sr 0.0000 0.0000 0.0000
La 0.4662 2.9430 4.3630
La 2.3968 2.9430 1.7845
In 1.4315 0.0000 3.0737
```

Computed properties:
Energy relative to the elements in meV/atom: -145
Volume in Å³/cell: 132.7
Total magnetization in μB/f.u.: 0.00
E in Ha/atom: -0.14788

=====

A plane-wave DFT calculation with PBEsol was carried out for a relaxed structure of ZrGaCoMo2.

extended XYZ file:
```
5
Lattice="4.7242 0.0000 0.0000 0.0000 4.7242 0.0000 0.0000 0.0000 4.3346" Properties=species:S:1:pos:R:3 pbc="T T T"
Zr 0.0000 0.0000 0.0000
Ga 2.3621 2.3621 2.1673
Co 0.0000 0.0000 2.1673
Mo 0.0000 2.3621 0.0000
Mo 2.3621 0.0000 0.0000
```

Computed properties:
Energy relative to the elements in meV/atom: 1869
Volume in Å³/cell: 96.7
Total magnetization in μB/f.u.: 0.01
E in Ha/atom: -0.25254

=====

A plane-wave DFT calculation with PBEsol was carried out for a relaxed structure of Li2HfCuNi.

extended XYZ file:
```
5
Lattice="3.9964 0.0000 0.0000 0.0000 3.9964 0.0000 0.0000 0.0000 4.5572" Properties=species:S:1:pos:R:3 pbc="T T T"
Li 0.0000 1.9982 0.0000
Li 1.9982 0.0000 0.0000
Hf 0.0000 0.0000 2.2786
Cu 1.9982 1.9982 0.0000
Ni 1.9982 1.9982 2.2786
```

Computed properties:
Energy relative to the elements in meV/atom: 471
Volume in Å³/cell: 72.8
Total magnetization in μB/f.u.: 0.00
E in Ha/atom: -0.16592

=====

A plane-wave DFT calculation with PBEsol was carried out for a relaxed structure of BeAg2Pt.

extended XYZ file:
```
4
Lattice="2.7825 0.0000 0.0000 0.0000 3.7725 0.0000 0.0000 0.0000 5.4915" Properties=species:S:1:pos:R:3 pbc="T T T"
Be 0.0000 0.0000 0.0000
Ag 1.3912 1.8862 1.2954
Ag 1.3912 1.8862 4.1961
Pt 0.0000 0.0000 2.7457
```

Computed properties:
Energy relative to the elements in meV/atom: 88
Volume in Å³/cell: 57.6
Total magnetization in μB/f.u.: 0.00
E in Ha/atom: -0.15834

=====

A plane-wave DFT calculation with PBEsol was carried out for a relaxed structure of ZrScBe2.

extended XYZ file:
```
4
Lattice="3.8931 -1.5838 0.0000 3.8931 1.5838 0.0000 -1.2653 0.0000 5.4916" Properties=species:S:1:pos:R:3 pbc="T T T"
Zr 0.0000 0.0000 0.0000
Sc 3.2605 0.0000 2.7458
Be 0.9897 0.0000 4.1466
Be 5.5312 0.0000 1.3451
```

Computed properties:
Energy relative to the elements in meV/atom: 306
Volume in Å³/cell: 67.7
Total magnetization in μB/f.u.: 0.00
Polymorph energy (0 for the lowest one) in kJ per mole of atoms: 36.2
E in Ha/atom: -0.20646

=====

A plane-wave DFT calculation with PBEsol was carried out for a relaxed structure of SrTa2Cr.

extended XYZ file:
```
4
Lattice="1.5458 0.8925 9.5394 -1.5458 0.8925 9.5394 0.0000 -1.7849 9.5394" Properties=species:S:1:pos:R:3 pbc="T T T"
Sr 0.0000 0.0000 0.0000
Ta 0.0000 0.0000 6.5888
Ta 0.0000 0.0000 22.0293
Cr 0.0000 0.0000 14.3090
```

Computed properties:
Energy relative to the elements in meV/atom: 809
Volume in Å³/cell: 79.0
Total magnetization in μB/f.u.: 0.00
Polymorph energy (0 for the lowest one) in kJ per mole of atoms: 0.0
E in Ha/atom: -0.31189

=====

A plane-wave DFT calculation with PBEsol was carried out for a relaxed structure of K2NdF5.

extended XYZ file:
```
32
Lattice="10.7475 0.0000 0.0000 0.0000 7.4749 0.0000 0.0000 0.0000 6.6171" Properties=species:S:1:pos:R:3 pbc="T T T"
K 1.8476 0.0237 0.1990
K 1.8476 3.7137 0.1990
K 3.5262 3.7612 3.5075
K 3.5262 7.4512 3.5075
K 7.2214 0.0237 3.1095
K 7.2214 3.7137 3.1095
K 8.9000 3.7612 6.4181
K 8.9000 7.4512 6.4181
Nd 0.0561 1.8687 3.7380
Nd 5.3176 5.6062 0.4295
Nd 5.4299 1.8687 6.1876
Nd 10.6914 5.6062 2.8790
F 0.1119 1.8687 6.0122
F 0.8905 3.9880 4.2888
F 0.8905 7.2244 4.2888
F 1.8543 1.8687 2.3679
F 2.1532 5.6062 2.1659
F 3.2206 1.8687 5.4745
F 3.5194 5.6062 5.6765
F 4.4833 0.2506 0.9802
F 4.4833 3.4869 0.9802
F 5.2619 5.6062 2.7037
F 5.4857 1.8687 3.9134
F 6.2643 3.9880 5.6368
F 6.2643 7.2244 5.6368
F 7.2281 1.8687 0.9406
F 7.5270 5.6062 1.1426
F 8.5943 1.8687 4.4511
F 8.8932 5.6062 4.2491
F 9.8571 0.2506 2.3283
F 9.8571 3.4869 2.3283
F 10.6357 5.6062 0.6048
```

Computed properties:
Volume in Å³/cell: 531.6
Total magnetization in μB/f.u.: 0.14
Formation energy (no corrections) in meV per atom: -3463
E in Ha/atom: -0.20568

=====

A plane-wave DFT calculation with PBEsol was carried out for a relaxed structure of AlF3.

extended XYZ file:
```
24
Lattice="3.4735 -5.9969 0.0000 3.4735 5.9969 0.0000 0.0000 0.0000 7.1286" Properties=species:S:1:pos:R:3 pbc="T T T"
Al 0.0000 0.0000 0.0000
Al 0.0000 0.0000 3.5643
Al 1.7367 2.9984 0.0000
Al 1.7367 2.9984 3.5643
Al 1.7367 -2.9984 0.0000
Al 1.7367 -2.9984 3.5643
F 3.4735 5.7066 5.3465
F 1.9100 2.7527 1.7822
F 1.2826 1.2586 3.7604
F 1.2826 1.2586 6.9326
F 3.4735 2.5540 3.7896
F 3.4735 2.5540 6.9033
F 1.2826 -1.2586 0.1961
F 1.2826 -1.2586 3.3683
F 5.0370 2.7527 1.7822
F 1.9100 -2.7527 5.3465
F 5.6644 1.2586 3.7604
F 5.6644 1.2586 6.9326
F 3.4735 -2.5540 0.2253
F 3.4735 -2.5540 3.3390
F 5.6644 -1.2586 0.1961
F 5.6644 -1.2586 3.3683
F 5.0370 -2.7527 5.3465
F 3.4735 -5.7066 1.7822
```

Computed properties:
Volume in Å³/cell: 297.0
Total magnetization in μB/f.u.: 0.00
Formation energy (no corrections) in meV per atom: -3584
E in Ha/atom: -0.22241

=====

A plane-wave DFT calculation with PBEsol was carried out for a relaxed structure of Ba3TcP.

extended XYZ file:
```
5
Lattice="6.0741 0.0000 0.0000 0.0000 6.0741 0.0000 0.0000 0.0000 6.0741" Properties=species:S:1:pos:R:3 pbc="T T T"
Ba 0.0000 0.0000 3.0370
Ba 0.0000 3.0370 0.0000
Ba 3.0370 0.0000 0.0000
Tc 3.0370 3.0370 3.0370
P 0.0000 0.0000 0.0000
```

Computed properties:
Energy relative to the elements in meV/atom: 575
Volume in Å³/cell: 224.1
Total magnetization in μB/f.u.: 3.10
E in Ha/atom: -0.15161

=====

A plane-wave DFT calculation with PBEsol was carried out for a relaxed structure of CaBeRh.

extended XYZ file:
```
3
Lattice="3.8016 0.0000 0.0000 -1.9008 3.2923 0.0000 0.0000 0.0000 4.2179" Properties=species:S:1:pos:R:3 pbc="T T T"
Ca 0.0000 0.0000 0.0000
Be 1.9008 1.0974 2.1090
Rh 0.0000 2.1949 2.1090
```

Computed properties:
Energy relative to the elements in meV/atom: -277
Volume in Å³/cell: 52.8
Total magnetization in μB/f.u.: 0.00
E in Ha/atom: -0.18502

=====

A plane-wave DFT calculation with PBEsol was carried out for a relaxed structure of NiGeMo2Br.

extended XYZ file:
```
5
Lattice="4.5176 0.0000 0.0000 0.0000 4.5176 0.0000 0.0000 0.0000 4.9481" Properties=species:S:1:pos:R:3 pbc="T T T"
Ni 0.0000 0.0000 0.0000
Ge 2.2588 2.2588 0.0000
Mo 0.0000 2.2588 2.4741
Mo 2.2588 0.0000 2.4741
Br 2.2588 2.2588 2.4741
```

Computed properties:
Volume in Å³/cell: 101.0
Total magnetization in μB/f.u.: 0.18
Formation energy (no corrections) in meV per atom: 1985
E in Ha/atom: -0.19535